# Ba3Hg3Pt

An optimized crystal structure of Ba3Hg3Pt (PBE, Alexandria via LeMat-Bulk).

Volume = 484.4 Å³/cell
Energy relative to the elements = -0.557 eV per atom
Magnetization = 0.0000 μB/atom
Calculated density = 8.288 g/cm3

abc: 6.5737 6.5737 18.1073
angles: 105.46 105.46 40.21
Closest atoms and distances in Å follow each position.
Fractional positions:
Ba  0.0358  0.0358  0.3954  2 Pt 3.31, 7 Hg 3.51-3.69
Ba  0.0998  0.0998  0.9200  7 Hg 3.50-3.63
Ba  0.2423  0.2423  0.2459  2 Pt 3.29, 4 Hg 3.49-3.65
Ba  0.7577  0.7577  0.7541  2 Pt 3.29, 4 Hg 3.49-3.65
Ba  0.9002  0.9002  0.0800  7 Hg 3.50-3.63
Ba  0.9642  0.9642  0.6046  2 Pt 3.31, 7 Hg 3.51-3.69
Hg  0.3406  0.3406  0.4561  2 Pt 2.88
Hg  0.3837  0.3837  0.9202  2 Hg 3.37-3.45, 7 Ba 3.50-3.73
Hg  0.4755  0.4755  0.7615  1 Pt 2.90
Hg  0.5245  0.5245  0.2385  1 Pt 2.90
Hg  0.6163  0.6163  0.0798  2 Hg 3.37-3.45, 7 Ba 3.50-3.73
Hg  0.6594  0.6594  0.5439  2 Pt 2.88
Pt  0.2799  0.2799  0.6270  3 Hg 2.88-2.90
Pt  0.7201  0.7201  0.3730  3 Hg 2.88-2.90



# BaHgPt2

An optimized crystal structure of BaHgPt2 (PBE, Alexandria via LeMat-Bulk).

Volume = 92.3 Å³/cell
Energy relative to the elements = -0.183 eV per atom
Magnetization = 0.0000 μB/atom
Calculated density = 13.095 g/cm3

abc: 3.2207 3.9565 7.2452
angles: 90.00 90.08 90.00
Closest atoms and distances in Å follow each position.
Fractional positions:
Ba  0.0000  0.0000  0.0000  2 Ba 3.22, 8 Pt 3.37
Hg  0.0000  0.0000  0.5000  8 Pt 2.92-2.93, 2 Hg 3.22
Pt  0.4994  0.5000  0.6970  1 Pt 2.85, 4 Hg 2.92-2.93
Pt  0.5006  0.5000  0.3030  1 Pt 2.85, 4 Hg 2.92-2.93



# Ba2HgPt

An optimized crystal structure of Ba2HgPt (PBE, Alexandria via LeMat-Bulk).

Volume = 130.5 Å³/cell
Energy relative to the elements = -0.362 eV per atom
Magnetization = 0.0001 μB/atom
Calculated density = 8.533 g/cm3

abc: 6.7027 6.7027 6.7027
angles: 138.58 138.58 60.02
Closest atoms and distances in Å follow each position.
Fractional positions:
Ba  0.0000  0.0000  0.0000  4 Pt 3.35, 4 Ba 3.75, 4 Hg 3.75
Ba  0.7500  0.2500  0.5000  4 Hg 3.35, 4 Ba 3.75, 4 Pt 3.75
Hg  0.2500  0.7500  0.5000  8 Ba 3.35-3.75, 4 Pt 3.75
Pt  0.5000  0.5000  0.0000  8 Ba 3.35-3.75, 4 Hg 3.75



# Ba2Hg3Pt2

An optimized crystal structure of Ba2Hg3Pt2 (PBE, Alexandria via LeMat-Bulk).

Volume = 191.2 Å³/cell
Energy relative to the elements = -0.523 eV per atom
Magnetization = 0.0000 μB/atom
Calculated density = 10.998 g/cm3
Offset from the most stable computed form = 3 meV per atom

abc: 6.0825 6.0825 8.1036
angles: 110.96 110.96 43.73
Closest atoms and distances in Å follow each position.
Fractional positions:
Ba  0.1400  0.1400  0.2732  4 Pt 3.26-3.48, 5 Hg 3.52-3.64
Ba  0.8600  0.8600  0.7268  4 Pt 3.26-3.48, 5 Hg 3.52-3.64
Hg  0.3646  0.3646  0.0623  3 Pt 2.97-3.02, 3 Hg 3.28-3.29
Hg  0.5000  0.5000  0.5000  4 Pt 2.90
Hg  0.6354  0.6354  0.9377  3 Pt 2.97-3.02, 3 Hg 3.28-3.29
Pt  0.1419  0.1419  0.7038  5 Hg 2.90-3.02
Pt  0.8581  0.8581  0.2962  5 Hg 2.90-3.02



# Ba4Hg2Pt

An optimized crystal structure of Ba4Hg2Pt (PBE, Alexandria via LeMat-Bulk).

Volume = 297.3 Å³/cell
Energy relative to the elements = -0.523 eV per atom
Magnetization = 0.0000 μB/atom
Calculated density = 6.399 g/cm3
Offset from the most stable computed form = 0 meV per atom

abc: 8.9703 8.9703 7.1977
angles: 103.40 103.40 31.93
Closest atoms and distances in Å follow each position.
Fractional positions:
Ba  0.0800  0.0800  0.2662  2 Pt 3.22, 2 Hg 3.61
Ba  0.3506  0.3506  0.1773  1 Pt 3.14
Ba  0.6494  0.6494  0.8227  1 Pt 3.14
Ba  0.9200  0.9200  0.7338  2 Pt 3.22, 2 Hg 3.61
Hg  0.2628  0.2628  0.6443  2 Hg 3.19
Hg  0.7372  0.7372  0.3557  2 Hg 3.19
Pt  0.5000  0.5000  0.0000  6 Ba 3.14-3.22



# BaHgPt2

An optimized crystal structure of BaHgPt2 (PBE, Alexandria via LeMat-Bulk).

Volume = 101.2 Å³/cell
Energy relative to the elements = -0.223 eV per atom
Magnetization = 0.0000 μB/atom
Calculated density = 11.944 g/cm3

abc: 3.6886 3.6886 7.4395
angles: 90.00 90.00 90.00
Closest atoms and distances in Å follow each position.
Fractional positions:
Ba  0.0000  0.0000  0.0000  1 Pt 2.95
Hg  0.5000  0.5000  0.3236  1 Pt 2.74
Pt  0.0000  0.0000  0.6033  4 Pt 2.69, 1 Ba 2.95
Pt  0.5000  0.5000  0.6924  4 Pt 2.69, 1 Hg 2.74



# Ba3HgPt

An optimized crystal structure of Ba3HgPt (PBE, Alexandria via LeMat-Bulk).

Volume = 431.8 Å³/cell
Energy relative to the elements = -0.541 eV per atom
Magnetization = 0.0000 μB/atom
Calculated density = 6.212 g/cm3
Offset from the most stable computed form = 2 meV per atom

abc: 4.6341 9.9479 9.9479
angles: 109.69 90.00 90.00
Closest atoms and distances in Å follow each position.
Fractional positions:
Ba  0.0000  0.1265  0.8735  2 Pt 3.15
Ba  0.0000  0.2514  0.5043  2 Pt 3.15
Ba  0.0000  0.5043  0.2514  2 Pt 3.15
Ba  0.0000  0.8735  0.1265  2 Pt 3.15
Ba  0.5000  0.5210  0.8568  2 Pt 3.16
Ba  0.5000  0.8568  0.5210  2 Pt 3.16
Hg  0.0000  0.6879  0.6879  4 Ba 3.58
Hg  0.5000  0.1890  0.1890  8 Ba 3.78
Pt  0.5000  0.1889  0.6889  6 Ba 3.15-3.16
Pt  0.5000  0.6889  0.1889  6 Ba 3.15-3.16



# BaHgPt2

An optimized crystal structure of BaHgPt2 (PBE, Alexandria via LeMat-Bulk).

Volume = 95.1 Å³/cell
Energy relative to the elements = -0.013 eV per atom
Magnetization = 0.0000 μB/atom
Calculated density = 12.712 g/cm3

abc: 5.1237 5.1237 5.1237
angles: 60.00 60.00 60.00
Closest atoms and distances in Å follow each position.
Fractional positions:
Ba  0.0000  0.0000  0.0000  4 Hg 3.14, 4 Pt 3.14
Hg  0.7500  0.7500  0.7500  4 Pt 3.14, 4 Ba 3.14
Pt  0.2500  0.2500  0.2500  4 Pt 3.14, 4 Ba 3.14
Pt  0.5000  0.5000  0.5000  4 Hg 3.14, 4 Pt 3.14



# Ba6HgPt

An optimized crystal structure of Ba6HgPt (PBE, Alexandria via LeMat-Bulk).

Volume = 433.7 Å³/cell
Energy relative to the elements = -0.371 eV per atom
Magnetization = 0.0000 μB/atom
Calculated density = 4.670 g/cm3

abc: 9.0306 9.0306 9.0306
angles: 52.87 52.87 52.87
Closest atoms and distances in Å follow each position.
Fractional positions:
Ba  0.0979  0.4285  0.7353  1 Pt 3.16, 1 Hg 3.45
Ba  0.2647  0.9021  0.5715  1 Pt 3.16, 1 Hg 3.45
Ba  0.4285  0.7353  0.0979  1 Pt 3.16, 1 Hg 3.45
Ba  0.5715  0.2647  0.9021  1 Pt 3.16, 1 Hg 3.45
Ba  0.7353  0.0979  0.4285  1 Pt 3.16, 1 Hg 3.45
Ba  0.9021  0.5715  0.2647  1 Pt 3.16, 1 Hg 3.45
Hg  0.0000  0.0000  0.0000  6 Ba 3.45
Pt  0.5000  0.5000  0.5000  6 Ba 3.16



# Ba8HgPt2

An optimized crystal structure of Ba8HgPt2 (PBE, Alexandria via LeMat-Bulk).

Volume = 617.8 Å³/cell
Energy relative to the elements = -0.273 eV per atom
Magnetization = 0.0000 μB/atom
Calculated density = 4.541 g/cm3

abc: 10.3737 10.3737 6.6281
angles: 90.00 90.00 120.00
Closest atoms and distances in Å follow each position.
Fractional positions:
Ba  0.1655  0.3331  0.2451  1 Pt 3.00
Ba  0.1675  0.8345  0.2451  1 Pt 3.00
Ba  0.3331  0.1675  0.7549  1 Pt 3.00
Ba  0.3333  0.6667  0.7459  2 Pt 3.30-3.32
Ba  0.6667  0.3333  0.2541  2 Pt 3.30-3.32
Ba  0.6669  0.8325  0.2451  1 Pt 3.00
Ba  0.8325  0.1655  0.7549  1 Pt 3.00
Ba  0.8345  0.6669  0.7549  1 Pt 3.00
Hg  0.0000  0.0000  0.5000  6 Ba 3.44
Pt  0.3333  0.6667  0.2475  5 Ba 3.00-3.32
Pt  0.6667  0.3333  0.7525  5 Ba 3.00-3.32



# BaHgPt2

An optimized crystal structure of BaHgPt2 (PBE, Alexandria via LeMat-Bulk).

Volume = 107.7 Å³/cell
Energy relative to the elements = -0.489 eV per atom
Magnetization = 0.0000 μB/atom
Calculated density = 11.223 g/cm3

abc: 4.7746 4.7746 6.1091
angles: 112.90 112.90 59.98
Closest atoms and distances in Å follow each position.
Fractional positions:
Ba  0.0000  0.0000  0.0000  2 Pt 3.08
Hg  0.5000  0.5000  0.5000  6 Pt 2.78
Pt  0.1880  0.1880  0.5640  3 Hg 2.78, 3 Pt 2.84-2.85, 1 Ba 3.08
Pt  0.8120  0.8120  0.4360  3 Hg 2.78, 3 Pt 2.84-2.85, 1 Ba 3.08



# Ba4HgPt

An optimized crystal structure of Ba4HgPt (PBE, Alexandria via LeMat-Bulk).

Volume = 566.6 Å³/cell
Energy relative to the elements = -0.463 eV per atom
Magnetization = 0.0000 μB/atom
Calculated density = 5.538 g/cm3
Offset from the most stable computed form = 0 meV per atom

abc: 9.9951 9.9951 7.9483
angles: 107.79 107.79 117.77
Closest atoms and distances in Å follow each position.
Fractional positions:
Ba  0.0621  0.6519  0.8624  1 Pt 3.13
Ba  0.2079  0.2843  0.7326  2 Pt 3.16-3.23
Ba  0.2843  0.2079  0.2326  2 Pt 3.16-3.23
Ba  0.3481  0.9379  0.6376  1 Pt 3.13
Ba  0.6519  0.0621  0.3624  1 Pt 3.13
Ba  0.7157  0.7921  0.7674  2 Pt 3.16-3.23
Ba  0.7921  0.7157  0.2674  2 Pt 3.16-3.23
Ba  0.9379  0.3481  0.1376  1 Pt 3.13
Hg  0.3722  0.6278  0.2500  8 Ba 3.50-3.81
Hg  0.6278  0.3722  0.7500  8 Ba 3.50-3.81
Pt  0.0714  0.9286  0.7500  6 Ba 3.13-3.23
Pt  0.9286  0.0714  0.2500  6 Ba 3.13-3.23